# PBE Np3Ni8Pd, optimized geometry
# Crystal system ... trigonal
# Total moment ... 9.47 Bohr magnetons per cell
# DOS(E_F) ... 26.6 states/eV per cell
# Space-group type ... R3m (160)
# Calculated volume ... 170.2 Å³/cell
# E_form ... -0.182 eV/atom
data_Np3Ni8Pd
_cell_length_a 8.5673
_cell_length_b 8.5673
_cell_length_c 8.5673
_cell_angle_alpha 33.45
_cell_angle_beta 33.45
_cell_angle_gamma 33.45
_symmetry_space_group_name_H-M 'P 1'
_symmetry_Int_Tables_number 1
loop_
_symmetry_equiv_pos_as_xyz
'x,y,z'
loop_
_atom_site_label
_atom_site_fract_x
_atom_site_fract_y
_atom_site_fract_z
Np1 0.0000 0.0000 0.0000
Np2 0.1257 0.1257 0.1257
Np3 0.6200 0.6200 0.6200
Ni1 0.0599 0.0599 0.5598
Ni2 0.0599 0.5598 0.0599
Ni3 0.0633 0.5614 0.5614
Ni4 0.3109 0.3109 0.3109
Ni5 0.5598 0.0599 0.0599
Ni6 0.5614 0.0633 0.5614
Ni7 0.5614 0.5614 0.0633
Ni8 0.8109 0.8109 0.8109
Pd1 0.4969 0.4969 0.4969